Record 1
# LaMo5

A relaxed structure of LaMo5 (PBE-GGA, Alexandria).

a = 5.4165 Å, b = 5.4165 Å, c = 6.7087 Å
α = 73.25°, β = 73.25°, γ = 34.48°
Fractional positions:
Mo1 0.3217 0.3217 0.3556
Mo2 0.6783 0.6783 0.6444
Mo3 0.3334 0.3334 0.8173
Mo4 0.0000 0.0000 0.5000
Mo5 0.6666 0.6666 0.1827
La1 0.0000 0.0000 0.0000

Computed properties:
Energy relative to the lowest polymorph listed for this composition = 27.3 meV per atom


Record 2
# LaMo8

A relaxed structure of LaMo8 (PBE-GGA, Alexandria).

a = 6.3126 Å, b = 6.3126 Å, c = 6.3126 Å
α = 97.70°, β = 97.70°, γ = 137.05°
Fractional positions:
Mo1 0.0000 0.3491 0.3491
Mo2 0.6509 0.0000 0.6509
Mo3 0.3491 0.0000 0.3491
Mo4 0.3132 0.3132 0.6264
Mo5 0.3132 0.6868 0.0000
Mo6 0.0000 0.6509 0.6509
Mo7 0.6868 0.6868 0.3736
Mo8 0.6868 0.3132 0.0000
La1 0.0000 0.0000 0.0000


Record 3
# La2Mo

A relaxed structure of La2Mo (PBE-GGA, Alexandria).

a = 6.2265 Å, b = 6.2265 Å, c = 6.2265 Å
α = 60.00°, β = 60.00°, γ = 60.00°
Last column: magnetic moment on the atom in μB.
Fractional positions:
La1 0.1250 0.6250 0.6250  -0.20
La2 0.6250 0.6250 0.6250  -0.20
La3 0.6250 0.6250 0.1250  -0.20
La4 0.6250 0.1250 0.6250  -0.20
Mo1 0.0000 0.0000 0.0000  2.31
Mo2 0.2500 0.2500 0.2500  2.31

Computed properties:
Energy relative to the lowest polymorph listed for this composition = 1030.0 meV per atom


Record 4
# LaMo2

A relaxed structure of LaMo2 (PBE-GGA, Alexandria).

a = 6.2869 Å, b = 6.2869 Å, c = 6.2869 Å
α = 149.73°, β = 149.73°, γ = 43.34°
Fractional positions:
Mo1 0.1956 0.1956 0.0000
Mo2 0.8044 0.8044 0.0000
La1 0.5000 0.5000 0.0000

Computed properties:
Energy relative to the lowest polymorph listed for this composition = 41.5 meV per atom


Record 5
# LaMo2

A relaxed structure of LaMo2 (PBE-GGA, Alexandria).

a = 8.3289 Å, b = 8.3289 Å, c = 8.3289 Å
α = 150.27°, β = 150.27°, γ = 42.54°
Fractional positions:
La1 0.0000 0.0000 0.0000
La2 0.7500 0.2500 0.5000
Mo1 0.5818 0.5818 0.0000
Mo2 0.3318 0.8318 0.5000
Mo3 0.1682 0.6682 0.5000
Mo4 0.4182 0.4182 0.0000

Computed properties:
Energy relative to the lowest polymorph listed for this composition = 378.5 meV per atom


Record 6
# La2Mo

A relaxed structure of La2Mo (PBE-GGA, Alexandria).

a = 7.6631 Å, b = 7.4779 Å, c = 3.5753 Å
α = 79.24°, β = 73.47°, γ = 27.28°
Fractional positions:
La1 0.8727 0.8727 0.1273
La2 0.1273 0.1273 0.8727
Mo1 0.5000 0.5000 0.5000

Computed properties:
Energy relative to the lowest polymorph listed for this composition = 139.9 meV per atom


Energy of formation in eV per atom, matching the order above: 0.360, 0.454, 1.258, 0.340, 0.677, 0.368